No. 1
DFT (GGA-PBE) results for an optimized crystal structure of VCuSn2Br.

The density of states at the Fermi level is 6.12 states/eV/cell. The calculation puts the energy relative to the elements, uncorrected at 1.25 eV/atom.

It has space group P4/mmm (No. 123), with a = 5.6073 Å, b = 5.6073 Å, c = 4.4219 Å, α = 90.00°, β = 90.00° and γ = 90.00°. Symmetry generates all atoms from V at (0.0000, 0.0000, 0.0000), Cu at (0.5000, 0.5000, 0.0000), Sn at (0.0000, 0.5000, 0.5000) and Br at (0.5000, 0.5000, 0.5000).

---

No. 2
DFT (GGA-PBE) results for an optimized crystal structure of GeS6F2.

The calculation puts the energy relative to the elements, uncorrected at -0.49 eV/atom.

It has space group C2/m (No. 12), with a = 9.5354 Å, b = 11.2166 Å, c = 3.7113 Å, α = 90.00°, β = 92.18° and γ = 90.00°. Symmetry generates all atoms from Ge at (0.0000, 0.0000, 0.0000), S at (0.0982, 0.3531, 0.8930), S at (0.1939, 0.5000, 0.1456) and F at (0.0000, 0.1162, 0.5000).

---

No. 3
DFT (GGA-PBE) results for an optimized crystal structure of Sr4AsI4.

The density of states at the Fermi level is 6.51 states/eV/cell. The calculation puts the energy relative to the elements, uncorrected at -1.48 eV/atom.

It has space group C2/m (No. 12), with a = 15.6180 Å, b = 4.6570 Å, c = 11.4943 Å, α = 90.00°, β = 120.22° and γ = 90.00°. Symmetry generates all atoms from Sr at (0.0842, 0.0000, 0.4118), Sr at (0.1852, 0.5000, 0.7776), As at (0.0000, 0.5000, 0.5000), I at (0.1060, 0.0000, 0.9102) and I at (0.1925, 0.5000, 0.2978).

---

No. 4
DFT (GGA-PBE) results for an optimized crystal structure of NaMg7Al5.

For the energy of formation from the pure elements, the calculation gives 11.6 meV per atom. The density of states at the Fermi level is 9.45 states/eV/cell.

It has space group Imm2 (No. 44), with a = 5.6150 Å, b = 9.8393 Å, c = 10.1091 Å, α = 90.00°, β = 90.00° and γ = 90.00°. Symmetry generates all atoms from Na at (0.0000, 0.0000, 0.0000), Mg at (0.0000, 0.0000, 0.3575), Mg at (0.0000, 0.0000, 0.6542), Mg at (0.0000, 0.3003, 0.5025), Mg at (0.0000, 0.3467, 0.0051), Mg at (0.0000, 0.5000, 0.7304), Al at (0.0000, 0.5000, 0.2768) and Al at (0.2494, 0.2541, 0.2537).

---

No. 5
DFT (GGA-PBE) results for an optimized crystal structure of LaCdFe2.

For the energy of formation from the pure elements, the calculation gives 185.7 meV per atom. The density of states at the Fermi level is 6.84 states/eV/cell.

It has space group C2/m (No. 12), with a = 7.8364 Å, b = 4.5380 Å, c = 5.4012 Å, α = 90.00°, β = 118.97° and γ = 90.00°. Symmetry generates all atoms from La at (0.0000, 0.0000, 0.0000), Cd at (0.0000, 0.5000, 0.5000) and Fe at (0.1836, 0.0000, 0.5526).

---

No. 6
DFT (GGA-PBE) results for an optimized crystal structure of Sm2Ge3Pt4Rh.

For the energy of formation from the pure elements, the calculation gives -816.0 meV per atom. The density of states at the Fermi level is 7.66 states/eV/cell.

It has space group P-4m2 (No. 115), with a = 4.1531 Å, b = 4.1531 Å, c = 11.0129 Å, α = 90.00°, β = 90.00° and γ = 90.00°. Symmetry generates all atoms from Sm at (0.0000, 0.5000, 0.2449), Ge at (0.0000, 0.0000, 0.0000), Ge at (0.0000, 0.5000, 0.6324), Pt at (0.0000, 0.0000, 0.5000), Pt at (0.0000, 0.5000, 0.8516), Pt at (0.5000, 0.5000, 0.5000) and Rh at (0.5000, 0.5000, 0.0000).

---

No. 7
DFT (GGA-PBE) results for an optimized crystal structure of ZrTlAg2Se4.

The density of states at the Fermi level is 7.78 states/eV/cell. The calculation puts the energy relative to the elements, uncorrected at -0.50 eV/atom.

It has space group I222 (No. 23), with a = 6.8541 Å, b = 7.4567 Å, c = 8.6769 Å, α = 90.00°, β = 90.00° and γ = 90.00°. Symmetry generates all atoms from Zr at (0.0000, 0.0000, 0.0000), Tl at (0.0000, 0.0000, 0.5000), Ag at (0.0000, 0.5000, 0.3262) and Se at (0.2042, 0.2128, 0.8325).

---

No. 8
DFT (GGA-PBE) results for an optimized crystal structure of Rb2LiCa2.

For the energy of formation from the pure elements, the calculation gives 260.2 meV per atom. The density of states at the Fermi level is 13.28 states/eV/cell.

It has space group P4/mbm (No. 127), with a = 8.7131 Å, b = 8.7131 Å, c = 7.2821 Å, α = 90.00°, β = 90.00° and γ = 90.00°. Symmetry generates all atoms from Rb at (0.1763, 0.3237, 0.0000), Li at (0.0000, 0.0000, 0.5000) and Ca at (0.1565, 0.6565, 0.5000).

---

No. 9
DFT (GGA-PBE) results for an optimized crystal structure of MgAs.

For the energy of formation from the pure elements, the calculation gives -202.9 meV per atom. The density of states at the Fermi level is 3.96 states/eV/cell. The energy above the lowest structure with this stoichiometry comes out at 215 meV/atom.

It has space group P6_3/mmc (No. 194), with a = 4.5989 Å, b = 4.5989 Å, c = 5.5861 Å, α = 90.00°, β = 90.00° and γ = 120.00°. Symmetry generates all atoms from Mg at (0.3333, 0.6667, 0.2500) and As at (0.3333, 0.6667, 0.7500).

---

No. 10
DFT (GGA-PBE) results for an optimized crystal structure of AlV3W.

For the energy of formation from the pure elements, the calculation gives 1432.4 meV per atom. The density of states at the Fermi level is 7.91 states/eV/cell. The energy above the lowest structure with this stoichiometry comes out at 1533 meV/atom.

It has space group Pm-3m (No. 221), with a = 4.3636 Å, b = 4.3636 Å, c = 4.3636 Å, α = 90.00°, β = 90.00° and γ = 90.00°. Symmetry generates all atoms from Al at (0.0000, 0.0000, 0.0000), V at (0.0000, 0.0000, 0.5000) and W at (0.5000, 0.5000, 0.5000).

---

No. 11
DFT (GGA-PBE) results for an optimized crystal structure of MgZr4S8.

The density of states at the Fermi level is 11.10 states/eV/cell. The calculation puts the energy relative to the elements, uncorrected at -1.53 eV/atom.

It has space group C2/m (No. 12), with a = 12.5739 Å, b = 7.2792 Å, c = 8.8626 Å, α = 90.00°, β = 134.62° and γ = 90.00°. Symmetry generates all atoms from Mg at (0.0000, 0.0000, 0.0000), Zr at (0.0000, 0.2569, 0.5000), Zr at (0.2366, 0.5000, 0.4779), S at (0.0288, 0.0000, 0.7328), S at (0.0419, 0.5000, 0.7470) and S at (0.2111, 0.2422, 0.2544).

---

No. 12
DFT (GGA-PBE) results for an optimized crystal structure of BaScRe3.

For the energy of formation from the pure elements, the calculation gives 3300.7 meV per atom. The density of states at the Fermi level is 9.42 states/eV/cell. The energy above the lowest structure with this stoichiometry comes out at 1192 meV/atom.

It has space group Pm-3m (No. 221), with a = 4.9645 Å, b = 4.9645 Å, c = 4.9645 Å, α = 90.00°, β = 90.00° and γ = 90.00°. Symmetry generates all atoms from Ba at (0.0000, 0.0000, 0.0000), Sc at (0.5000, 0.5000, 0.5000) and Re at (0.0000, 0.0000, 0.5000).

---

No. 13
DFT (GGA-PBE) results for an optimized crystal structure of Tb12Pm2Y.

For the energy of formation from the pure elements, the calculation gives 111.0 meV per atom. The density of states at the Fermi level is 91.97 states/eV/cell.

It has space group C2/m (No. 12), with a = 7.1242 Å, b = 11.2773 Å, c = 24.5406 Å, α = 90.00°, β = 94.11° and γ = 90.00°. Symmetry generates all atoms from Tb at (0.0183, 0.2500, 0.0734), Tb at (0.1124, 0.2487, 0.4448), Tb at (0.1407, 0.5000, 0.5735), Tb at (0.1431, 0.0000, 0.5719), Tb at (0.1670, 0.2493, 0.6698), Tb at (0.1999, 0.2505, 0.7997), Tb at (0.2153, 0.0000, 0.8636), Tb at (0.2157, 0.5000, 0.8643), Pm at (0.0675, 0.5000, 0.2721), Pm at (0.0695, 0.0000, 0.2724) and Y at (0.2499, 0.0000, 0.9997).

---

No. 14
DFT (GGA-PBE) results for an optimized crystal structure of Sr2AsW.

For the energy of formation from the pure elements, the calculation gives 720.9 meV per atom. The density of states at the Fermi level is 9.21 states/eV/cell.

It has space group I-4m2 (No. 119), with a = 4.6106 Å, b = 4.6106 Å, c = 10.4642 Å, α = 90.00°, β = 90.00° and γ = 90.00°. Symmetry generates all atoms from Sr at (0.0000, 0.0000, 0.0000), Sr at (0.0000, 0.5000, 0.2500), As at (0.0000, 0.0000, 0.5000) and W at (0.0000, 0.5000, 0.7500).

---

No. 15
DFT (GGA-PBE) results for an optimized crystal structure of Rb3NpCr2S6.

The density of states at the Fermi level is 20.99 states/eV/cell. The calculation puts the energy relative to the elements, uncorrected at -1.02 eV/atom.

It has space group C2/m (No. 12), with a = 6.6099 Å, b = 11.4448 Å, c = 7.9164 Å, α = 90.00°, β = 106.24° and γ = 90.00°. Symmetry generates all atoms from Rb at (0.0000, 0.0000, 0.0000), Rb at (0.0000, 0.3368, 0.0000), Np at (0.0000, 0.5000, 0.5000), Cr at (0.0000, 0.1667, 0.5000), S at (0.2028, 0.0000, 0.6772) and S at (0.2377, 0.3218, 0.6786).

---

No. 16
DFT (GGA-PBE) results for an optimized crystal structure of Al2V2Ga.

For the energy of formation from the pure elements, the calculation gives -140.1 meV per atom. The density of states at the Fermi level is 7.89 states/eV/cell. The energy above the lowest structure with this stoichiometry comes out at 45 meV/atom.

It has space group C2/m (No. 12), with a = 12.7317 Å, b = 4.2413 Å, c = 2.6967 Å, α = 90.00°, β = 94.69° and γ = 90.00°. Symmetry generates all atoms from Al at (0.1981, 0.0000, 0.4395), V at (0.0977, 0.5000, 0.9338) and Ga at (0.0000, 0.0000, 0.5000).

---

No. 17
DFT (GGA-PBE) results for an optimized crystal structure of CoReSe2.

The density of states at the Fermi level is 3.51 states/eV/cell. The energy above the lowest structure with this stoichiometry comes out at 497 meV/atom. The calculation puts the energy relative to the elements, uncorrected at 0.41 eV/atom.

It has space group P2/m (No. 10), with a = 3.0903 Å, b = 3.0887 Å, c = 6.2046 Å, α = 90.00°, β = 90.71° and γ = 90.00°. Symmetry generates all atoms from Co at (0.0000, 0.0000, 0.0000), Re at (0.0000, 0.0000, 0.5000) and Se at (0.4882, 0.5000, 0.2462).

---

No. 18
DFT (GGA-PBE) results for an optimized crystal structure of TaNbAsCl2.

The density of states at the Fermi level is 3.79 states/eV/cell. The calculation puts the energy relative to the elements, uncorrected at 0.53 eV/atom.

It has space group P4/mmm (No. 123), with a = 4.5442 Å, b = 4.5442 Å, c = 5.7349 Å, α = 90.00°, β = 90.00° and γ = 90.00°. Symmetry generates all atoms from Ta at (0.0000, 0.0000, 0.0000), Nb at (0.0000, 0.0000, 0.5000), As at (0.5000, 0.5000, 0.0000) and Cl at (0.0000, 0.5000, 0.5000).

---

No. 19
DFT (GGA-PBE) results for an optimized crystal structure of TcTeIr2.

The density of states at the Fermi level is 3.52 states/eV/cell. The calculation puts the energy relative to the elements, uncorrected at 0.31 eV/atom.

It has space group P4/mmm (No. 123), with a = 2.8942 Å, b = 2.8942 Å, c = 8.0680 Å, α = 90.00°, β = 90.00° and γ = 90.00°. Symmetry generates all atoms from Tc at (0.0000, 0.0000, 0.0000), Te at (0.0000, 0.0000, 0.5000) and Ir at (0.5000, 0.5000, 0.2179).

---

No. 20
DFT (GGA-PBE) results for an optimized crystal structure of LiAc2MgO5.

The density of states at the Fermi level is 5.83 states/eV/cell. The calculation puts the energy relative to the elements, uncorrected at -2.62 eV/atom.

It has space group P4/mmm (No. 123), with a = 3.9399 Å, b = 3.9399 Å, c = 8.3671 Å, α = 90.00°, β = 90.00° and γ = 90.00°. Symmetry generates all atoms from Li at (0.0000, 0.0000, 0.0000), Ac at (0.5000, 0.5000, 0.2760), Mg at (0.0000, 0.0000, 0.5000), O at (0.0000, 0.0000, 0.2363), O at (0.0000, 0.5000, 0.5000) and O at (0.5000, 0.5000, 0.0000).